Below is an optimized crystal structure of CaGe2Br2, with properties calculated at the PBE level.

Output
**DFT total energy**: -3.728 eV per atom
**Raw formation energy**: -18.71 kcal/mol of atoms
**Energy above the most stable polymorph in this dataset**: 0.00 eV/f.u.

Lattice parameters (Å, degrees): 3.6623 3.6623 24.5853 90.00 90.00 90.00
Space group I4/mmm (No. 139)
One atom of each set of equivalent atoms:
Ca1 0.0000 0.0000 0.0000 x2
Ge1 0.0000 0.5000 0.2500 x4
Br1 0.0000 0.0000 0.4312 x4

---

Below is an optimized crystal structure of Rb2LiTeS, with properties calculated at the PBE level.

Output
**DFT total energy**: -3.052 eV per atom
**Raw formation energy**: -19.09 kcal/mol of atoms

Lattice parameters (Å, degrees): 6.6160 6.6160 4.3636 90.00 90.00 90.00
Space group P4/mmm (No. 123)
One atom of each set of equivalent atoms:
Rb1 0.0000 0.5000 0.0000 x2
Li1 0.0000 0.0000 0.5000 x1
Te1 0.5000 0.5000 0.5000 x1
S1 0.0000 0.0000 0.0000 x1

---

Below is an optimized crystal structure of GdTmSiHg, with properties calculated at the PBE level.

Output
**DFT total energy**: -6.527 eV per atom
**Raw formation energy**: -10.55 kcal/mol of atoms

Lattice parameters (Å, degrees): 7.2241 7.2241 7.2241 90.00 90.00 90.00
Space group F-43m (No. 216)
One atom of each set of equivalent atoms:
Gd1 0.0000 0.0000 0.0000 x4
Tm1 0.0000 0.0000 0.5000 x4
Si1 0.2500 0.2500 0.2500 x4
Hg1 0.2500 0.2500 0.7500 x4

---

Below is an optimized crystal structure of SmYTe3, with properties calculated at the PBE level.

Output
**DFT total energy**: -5.551 eV per atom
**Raw formation energy**: -32.95 kcal/mol of atoms
**Energy above the most stable polymorph in this dataset**: 0.00 eV/f.u.

Lattice parameters (Å, degrees): 12.1323 4.3570 11.8198 90.00 90.00 90.00
Space group Pnma (No. 62)
One atom of each set of equivalent atoms:
Sm1 0.1983 0.2500 0.0053 x4
Y1 0.0166 0.2500 0.3105 x4
Te1 0.0403 0.7500 0.1244 x4
Te2 0.1149 0.2500 0.5559 x4
Te3 0.2259 0.7500 0.8024 x4

---

- Look up the raw formation energy of the fourth one.
  -32.95 kcal/mol of atoms